This record from Alexandria via LeMat-Bulk describes crystalline CaVI2O at its relaxed geometry. The functional is PBE with a Hubbard U.

a b c (Å): 5.8945 5.8945 3.7966
angles (deg): 90.00 90.00 90.00
Closest atoms and distances in Å follow each position.
Fractional coordinates of all 5 atoms:
1 Ca 0.0000 0.0000 0.0000  8 I 3.51, 2 Ca 3.80
2 V 0.5000 0.5000 0.5000  2 O 1.90
3 I 0.0000 0.5000 0.5000  2 V 2.95
4 I 0.5000 0.0000 0.5000  2 V 2.95
5 O 0.5000 0.5000 0.0000  2 V 1.90

Spin magnetization (μB per formula unit): 2.67
Volume (Å³/atom): 26.382
Crystal system: tetragonal
Energy relative to the lowest polymorph listed for this composition (eV/atom): 0.000
Symmetry: P4/mmm, No. 123